A relaxed structure of CePr3Y2Se6, computed with PBE.

The calculation puts the total magnetization at 0.840 μB per formula unit. The uncorrected energy is -6.329 eV/atom. As for the density: 6.4 g cm⁻³.

The structure belongs to space group C2/m (No. 12); the cell edges are 7.232, 12.562 and 7.314 Å and the angles 90.00°, 109.39° and 90.00°. Symmetry generates all atoms from Ce at (0.000, 0.000, 0.000), Pr at (0.000, 0.165, 0.500), Pr at (0.000, 0.500, 0.500), Y at (0.000, 0.333, 0.000), Se at (0.240, 0.500, 0.236) and Se at (0.249, 0.169, 0.238).